1.
! GGA-PBE Pm4SnN2, optimized geometry; values from VASP
&SYSTEM
  ibrav = 0, nat = 14, ntyp = 3
/
ATOMIC_SPECIES
Pm 145.00 Pm.upf
Sn 118.71 Sn.upf
N 14.01 N.upf
CELL_PARAMETERS angstrom
1.904 -6.294 0.000
1.904 6.294 0.000
0.000 0.000 13.110
ATOMIC_POSITIONS crystal
Pm 0.000 0.000 0.000
Pm 0.000 0.000 0.500
Pm 0.260 0.740 0.601
Pm 0.260 0.740 0.899
Pm 0.413 0.587 0.250
Pm 0.587 0.413 0.750
Pm 0.740 0.260 0.101
Pm 0.740 0.260 0.399
Sn 0.108 0.892 0.250
Sn 0.892 0.108 0.750
N 0.362 0.638 0.058
N 0.362 0.638 0.442
N 0.638 0.362 0.558
N 0.638 0.362 0.942
! raw total energy: -46.70 eV/f.u.
! space group: Cmcm, No. 63
! magnetization: 0.0 μB/f.u.

2.
! GGA-PBE Pm4Sn2N, optimized geometry; values from VASP
&SYSTEM
  ibrav = 0, nat = 14, ntyp = 3
/
ATOMIC_SPECIES
Pm 145.00 Pm.upf
Sn 118.71 Sn.upf
N 14.01 N.upf
CELL_PARAMETERS angstrom
6.699 0.000 0.000
0.000 6.875 0.000
-3.353 0.000 8.825
ATOMIC_POSITIONS crystal
Pm 0.018 0.001 0.278
Pm 0.018 0.499 0.278
Pm 0.374 0.250 0.053
Pm 0.431 0.250 0.656
Pm 0.569 0.750 0.344
Pm 0.626 0.750 0.947
Pm 0.982 0.501 0.722
Pm 0.982 0.999 0.722
Sn 0.192 0.750 0.034
Sn 0.313 0.750 0.586
Sn 0.687 0.250 0.414
Sn 0.808 0.250 0.966
N 0.211 0.250 0.794
N 0.789 0.750 0.206
! raw total energy: -41.36 eV/f.u.
! space group: P2_1/m, No. 11
! magnetization: 0.4 μB/f.u.

3.
! GGA-PBE PmSnN, optimized geometry; values from VASP
&SYSTEM
  ibrav = 0, nat = 6, ntyp = 3
/
ATOMIC_SPECIES
Pm 145.00 Pm.upf
Sn 118.71 Sn.upf
N 14.01 N.upf
CELL_PARAMETERS angstrom
4.217 0.000 0.000
0.000 4.217 0.000
0.000 0.000 8.186
ATOMIC_POSITIONS crystal
Pm 0.250 0.250 0.121
Pm 0.750 0.750 0.879
Sn 0.250 0.250 0.563
Sn 0.750 0.750 0.437
N 0.250 0.750 0.000
N 0.750 0.250 0.000
! raw total energy: -19.03 eV/f.u.
! space group: P4/nmm, No. 129
! magnetization: 0.1 μB/f.u.

4.
! GGA-PBE PmSnN, optimized geometry; values from VASP
&SYSTEM
  ibrav = 0, nat = 6, ntyp = 3
/
ATOMIC_SPECIES
Pm 145.00 Pm.upf
Sn 118.71 Sn.upf
N 14.01 N.upf
CELL_PARAMETERS angstrom
3.488 0.000 0.000
0.000 3.488 0.000
0.000 0.000 11.498
ATOMIC_POSITIONS crystal
Pm 0.000 0.000 0.000
Pm 0.500 0.500 0.500
Sn 0.000 0.000 0.291
Sn 0.500 0.500 0.791
N 0.000 0.000 0.484
N 0.500 0.500 0.984
! raw total energy: -19.08 eV/f.u.
! space group: I4mm, No. 107
! magnetization: 0.0 μB/f.u.

5.
! GGA-PBE Pm4Sn2N, optimized geometry; values from VASP
&SYSTEM
  ibrav = 0, nat = 14, ntyp = 3
/
ATOMIC_SPECIES
Pm 145.00 Pm.upf
Sn 118.71 Sn.upf
N 14.01 N.upf
CELL_PARAMETERS angstrom
4.866 0.000 0.000
0.000 4.866 0.000
0.000 0.000 16.447
ATOMIC_POSITIONS crystal
Pm 0.000 0.000 0.161
Pm 0.000 0.000 0.839
Pm 0.000 0.500 0.000
Pm 0.000 0.500 0.500
Pm 0.500 0.000 0.000
Pm 0.500 0.000 0.500
Pm 0.500 0.500 0.339
Pm 0.500 0.500 0.661
Sn 0.000 0.000 0.359
Sn 0.000 0.000 0.641
Sn 0.500 0.500 0.141
Sn 0.500 0.500 0.859
N 0.000 0.000 0.000
N 0.500 0.500 0.500
! raw total energy: -41.65 eV/f.u.
! space group: I4/mmm, No. 139
! magnetization: 0.0 μB/f.u.

6.
! GGA-PBE Pm10Sn4N3, optimized geometry; values from VASP
&SYSTEM
  ibrav = 0, nat = 17, ntyp = 3
/
ATOMIC_SPECIES
Pm 145.00 Pm.upf
Sn 118.71 Sn.upf
N 14.01 N.upf
CELL_PARAMETERS angstrom
-2.469 2.469 18.031
2.469 -2.469 18.031
2.469 2.469 -18.031
ATOMIC_POSITIONS crystal
Pm 0.000 0.500 0.500
Pm 0.069 0.069 0.000
Pm 0.137 0.637 0.500
Pm 0.209 0.209 0.000
Pm 0.363 0.863 0.500
Pm 0.500 0.000 0.500
Pm 0.637 0.137 0.500
Pm 0.791 0.791 0.000
Pm 0.863 0.363 0.500
Pm 0.931 0.931 0.000
Sn 0.300 0.300 0.000
Sn 0.432 0.432 0.000
Sn 0.568 0.568 0.000
Sn 0.700 0.700 0.000
N 0.000 0.000 0.000
N 0.140 0.140 0.000
N 0.860 0.860 0.000
! raw total energy: -104.82 eV/f.u.
! space group: I4/mmm, No. 139
! magnetization: 0.0 μB/f.u.

7.
! GGA-PBE Pm6Sn3N2, optimized geometry; values from VASP
&SYSTEM
  ibrav = 0, nat = 11, ntyp = 3
/
ATOMIC_SPECIES
Pm 145.00 Pm.upf
Sn 118.71 Sn.upf
N 14.01 N.upf
CELL_PARAMETERS angstrom
-2.423 2.423 12.871
2.423 -2.423 12.871
2.423 2.423 -12.871
ATOMIC_POSITIONS crystal
Pm 0.084 0.584 0.500
Pm 0.193 0.193 0.000
Pm 0.416 0.916 0.500
Pm 0.584 0.084 0.500
Pm 0.807 0.807 0.000
Pm 0.916 0.416 0.500
Sn 0.323 0.323 0.000
Sn 0.500 0.500 0.000
Sn 0.677 0.677 0.000
N 0.103 0.103 0.000
N 0.897 0.897 0.000
! raw total energy: -67.73 eV/f.u.
! space group: I4/mmm, No. 139
! magnetization: 0.0 μB/f.u.

8.
! GGA-PBE Pm5Sn2N2, optimized geometry; values from VASP
&SYSTEM
  ibrav = 0, nat = 9, ntyp = 3
/
ATOMIC_SPECIES
Pm 145.00 Pm.upf
Sn 118.71 Sn.upf
N 14.01 N.upf
CELL_PARAMETERS angstrom
4.888 0.000 0.000
0.000 4.888 0.000
0.000 0.000 9.758
ATOMIC_POSITIONS crystal
Pm 0.000 0.000 0.000
Pm 0.000 0.500 0.284
Pm 0.000 0.500 0.716
Pm 0.500 0.000 0.284
Pm 0.500 0.000 0.716
Sn 0.500 0.500 0.000
Sn 0.500 0.500 0.500
N 0.000 0.000 0.243
N 0.000 0.000 0.757
! raw total energy: -57.16 eV/f.u.
! space group: P4/mmm, No. 123
! magnetization: 0.0 μB/f.u.

9.
! GGA-PBE Pm6Sn2N, optimized geometry; values from VASP
&SYSTEM
  ibrav = 0, nat = 9, ntyp = 3
/
ATOMIC_SPECIES
Pm 145.00 Pm.upf
Sn 118.71 Sn.upf
N 14.01 N.upf
CELL_PARAMETERS angstrom
3.482 0.000 0.000
0.000 7.230 5.068
0.000 -7.230 5.068
ATOMIC_POSITIONS crystal
Pm 0.000 0.000 0.000
Pm 0.000 0.599 0.823
Pm 0.000 0.823 0.599
Pm 0.500 0.219 0.724
Pm 0.500 0.389 0.389
Pm 0.500 0.724 0.219
Sn 0.000 0.062 0.384
Sn 0.000 0.384 0.062
N 0.500 0.841 0.841
! raw total energy: -49.24 eV/f.u.
! space group: Amm2, No. 38
! magnetization: 0.0 μB/f.u.

10.
! GGA-PBE PmSnN, optimized geometry; values from VASP
&SYSTEM
  ibrav = 0, nat = 3, ntyp = 3
/
ATOMIC_SPECIES
Pm 145.00 Pm.upf
Sn 118.71 Sn.upf
N 14.01 N.upf
CELL_PARAMETERS angstrom
3.788 0.000 0.000
-1.894 3.280 0.000
0.000 0.000 5.541
ATOMIC_POSITIONS crystal
Pm 0.000 0.000 0.000
Sn 0.667 0.333 0.509
N 0.333 0.667 0.875
! raw total energy: -18.25 eV/f.u.
! space group: P3m1, No. 156
! magnetization: 0.0 μB/f.u.

11.
! GGA-PBE Pm7Sn2N, optimized geometry; values from VASP
&SYSTEM
  ibrav = 0, nat = 10, ntyp = 3
/
ATOMIC_SPECIES
Pm 145.00 Pm.upf
Sn 118.71 Sn.upf
N 14.01 N.upf
CELL_PARAMETERS angstrom
0.000 5.208 5.208
5.208 0.000 5.208
5.208 5.208 0.000
ATOMIC_POSITIONS crystal
Pm 0.000 0.000 0.000
Pm 0.268 0.268 0.732
Pm 0.268 0.732 0.268
Pm 0.268 0.732 0.732
Pm 0.732 0.268 0.268
Pm 0.732 0.268 0.732
Pm 0.732 0.732 0.268
Sn 0.250 0.250 0.250
Sn 0.750 0.750 0.750
N 0.500 0.500 0.500
! raw total energy: -50.71 eV/f.u.
! space group: Fm-3m, No. 225
! magnetization: 0.4 μB/f.u.

12.
! GGA-PBE Pm6SnN2, optimized geometry; values from VASP
&SYSTEM
  ibrav = 0, nat = 9, ntyp = 3
/
ATOMIC_SPECIES
Pm 145.00 Pm.upf
Sn 118.71 Sn.upf
N 14.01 N.upf
CELL_PARAMETERS angstrom
-2.288 2.288 10.398
2.288 -2.288 10.398
2.288 2.288 -10.398
ATOMIC_POSITIONS crystal
Pm 0.103 0.603 0.500
Pm 0.250 0.750 0.500
Pm 0.397 0.897 0.500
Pm 0.603 0.103 0.500
Pm 0.750 0.250 0.500
Pm 0.897 0.397 0.500
Sn 0.000 0.000 0.000
N 0.324 0.324 0.000
N 0.676 0.676 0.000
! raw total energy: -51.28 eV/f.u.
! space group: I4/mmm, No. 139
! magnetization: 0.0 μB/f.u.

Calculated calculated volume (Å³/cell), listed in the same order as above: 314.3 406.4 145.6 139.8 389.4 439.6 302.2 233.2 255.1 68.8 282.6 217.7